# 1
# Nd3TeIrCl | the Alexandria database | GGA-PBE | optimized geometry
# Total moment (μB/atom): 0.0666
# Formation energy without anion corrections (meV/atom): -1124
# E (eV/atom): -5.816
# ρ (kg/m3): 6829
# Space-group type: P2_1/m, No. 11
data_Nd3TeIrCl
_symmetry_space_group_name_H-M 'P 1'
_symmetry_Int_Tables_number 1
_cell_length_a 4.248
_cell_length_b 9.002
_cell_length_c 10.053
_cell_angle_alpha 94.49
_cell_angle_beta 90.00
_cell_angle_gamma 90.00
loop_
_symmetry_equiv_pos_as_xyz
'x,y,z'
loop_
_atom_site_label
_atom_site_type_symbol
_atom_site_fract_x
_atom_site_fract_y
_atom_site_fract_z
Nd1 Nd 0.750 0.844 0.137
Nd2 Nd 0.250 0.156 0.863
Nd3 Nd 0.250 0.665 0.418
Nd4 Nd 0.750 0.335 0.582
Nd5 Nd 0.750 0.402 0.145
Nd6 Nd 0.250 0.598 0.855
Te1 Te 0.250 0.122 0.180
Te2 Te 0.750 0.878 0.820
Ir1 Ir 0.250 0.624 0.146
Ir2 Ir 0.750 0.376 0.854
Cl1 Cl 0.250 0.133 0.571
Cl2 Cl 0.750 0.867 0.429

# 2
# Te2MoAs | the Alexandria database | GGA-PBE | optimized geometry
# Total moment (μB/atom): 0.0000
# Formation energy without anion corrections (meV/atom): -4
# E (eV/atom): -5.445
# ρ (kg/m3): 6879
# Space-group type: Cm, No. 8
data_Te2MoAs
_symmetry_space_group_name_H-M 'P 1'
_symmetry_Int_Tables_number 1
_cell_length_a 4.813
_cell_length_b 4.813
_cell_length_c 6.997
_cell_angle_alpha 75.77
_cell_angle_beta 75.77
_cell_angle_gamma 41.13
loop_
_symmetry_equiv_pos_as_xyz
'x,y,z'
loop_
_atom_site_label
_atom_site_type_symbol
_atom_site_fract_x
_atom_site_fract_y
_atom_site_fract_z
Mo1 Mo 0.712 0.712 0.629
Te1 Te 0.085 0.085 0.948
Te2 Te 0.280 0.280 0.301
As1 As 0.424 0.424 0.622

# 3
# K2Pb2F | the Alexandria database | GGA-PBE | optimized geometry
# Total moment (μB/atom): 0.0002
# Formation energy without anion corrections (meV/atom): -411
# E (eV/atom): -2.708
# Energy above the lowest structure with this stoichiometry (meV per atom): 78
# ρ (kg/m3): 4277
# Space-group type: P4/mbm, No. 127
data_K2Pb2F
_symmetry_space_group_name_H-M 'P 1'
_symmetry_Int_Tables_number 1
_cell_length_a 10.261
_cell_length_b 10.261
_cell_length_c 3.773
_cell_angle_alpha 90.00
_cell_angle_beta 90.00
_cell_angle_gamma 90.00
loop_
_symmetry_equiv_pos_as_xyz
'x,y,z'
loop_
_atom_site_label
_atom_site_type_symbol
_atom_site_fract_x
_atom_site_fract_y
_atom_site_fract_z
Pb1 Pb 0.401 0.901 0.000
Pb2 Pb 0.901 0.599 0.000
Pb3 Pb 0.599 0.099 0.000
Pb4 Pb 0.099 0.401 0.000
K1 K 0.203 0.703 0.500
K2 K 0.703 0.797 0.500
K3 K 0.797 0.297 0.500
K4 K 0.297 0.203 0.500
F1 F 0.000 0.000 0.000
F2 F 0.500 0.500 0.000

# 4
# SrAl4Zn2Pd | the Alexandria database | GGA-PBE | optimized geometry
# Total moment (μB/atom): 0.0000
# E (eV/atom): -3.343
# ρ (kg/m3): 4588
# Energy of formation from the pure elements (eV/atom): -0.29
# Space-group type: R-3m, No. 166
data_SrAl4Zn2Pd
_symmetry_space_group_name_H-M 'P 1'
_symmetry_Int_Tables_number 1
_cell_length_a 4.339
_cell_length_b 4.339
_cell_length_c 9.929
_cell_angle_alpha 77.38
_cell_angle_beta 77.38
_cell_angle_gamma 60.00
loop_
_symmetry_equiv_pos_as_xyz
'x,y,z'
loop_
_atom_site_label
_atom_site_type_symbol
_atom_site_fract_x
_atom_site_fract_y
_atom_site_fract_z
Sr1 Sr 0.000 0.000 0.000
Al1 Al 0.411 0.411 0.768
Al2 Al 0.867 0.867 0.399
Al3 Al 0.133 0.133 0.601
Al4 Al 0.589 0.589 0.232
Zn1 Zn 0.750 0.750 0.750
Zn2 Zn 0.250 0.250 0.250
Pd1 Pd 0.500 0.500 0.500

# 5
# SrSn3Pd3 | the Alexandria database | GGA-PBE | optimized geometry
# Total moment (μB/atom): 0.0000
# E (eV/atom): -4.524
# Energy above the lowest structure with this stoichiometry (meV per atom): 118
# ρ (kg/m3): 6379
# Energy of formation from the pure elements (eV/atom): -0.34
# Space-group type: Pm-3n, No. 223
data_SrSn3Pd3
_symmetry_space_group_name_H-M 'P 1'
_symmetry_Int_Tables_number 1
_cell_length_a 7.351
_cell_length_b 7.351
_cell_length_c 7.351
_cell_angle_alpha 90.00
_cell_angle_beta 90.00
_cell_angle_gamma 90.00
loop_
_symmetry_equiv_pos_as_xyz
'x,y,z'
loop_
_atom_site_label
_atom_site_type_symbol
_atom_site_fract_x
_atom_site_fract_y
_atom_site_fract_z
Sr1 Sr 0.500 0.500 0.500
Sr2 Sr 0.000 0.000 0.000
Sn1 Sn 0.000 0.250 0.500
Sn2 Sn 0.000 0.750 0.500
Sn3 Sn 0.500 0.000 0.750
Sn4 Sn 0.750 0.500 0.000
Sn5 Sn 0.500 0.000 0.250
Sn6 Sn 0.250 0.500 0.000
Pd1 Pd 0.250 0.000 0.500
Pd2 Pd 0.000 0.500 0.250
Pd3 Pd 0.500 0.750 0.000
Pd4 Pd 0.750 0.000 0.500
Pd5 Pd 0.000 0.500 0.750
Pd6 Pd 0.500 0.250 0.000

# 6
# Dy6TlSn2Te3 | the Alexandria database | GGA-PBE | optimized geometry
# Total moment (μB/atom): 0.0000
# Formation energy without anion corrections (meV/atom): -950
# E (eV/atom): -4.901
# ρ (kg/m3): 8350
# Space-group type: C2/m, No. 12
data_Dy6TlSn2Te3
_symmetry_space_group_name_H-M 'P 1'
_symmetry_Int_Tables_number 1
_cell_length_a 4.372
_cell_length_b 8.831
_cell_length_c 9.922
_cell_angle_alpha 106.28
_cell_angle_beta 102.73
_cell_angle_gamma 90.00
loop_
_symmetry_equiv_pos_as_xyz
'x,y,z'
loop_
_atom_site_label
_atom_site_type_symbol
_atom_site_fract_x
_atom_site_fract_y
_atom_site_fract_z
Dy1 Dy 0.334 0.915 0.667
Dy2 Dy 0.670 0.571 0.340
Dy3 Dy 0.666 0.085 0.333
Dy4 Dy 0.000 0.250 0.999
Dy5 Dy 0.000 0.750 0.001
Dy6 Dy 0.330 0.429 0.660
Tl1 Tl 0.500 0.000 0.000
Sn1 Sn 0.836 0.674 0.672
Sn2 Sn 0.164 0.326 0.328
Te1 Te 0.500 0.500 0.000
Te2 Te 0.832 0.172 0.665
Te3 Te 0.168 0.828 0.335

- The highest ρ belongs to which entry?
  Dy6TlSn2Te3